Density functional theory data (PBE-GGA) for a geometry-optimized La3Ir structure.

Cell lengths 5.7071, 5.7071, 5.7071 Å; angles 90.00, 90.00, 90.00 degrees
Fractional coordinates of all 4 atoms:
Ir: 0.0000 0.0000 0.0000
La: 0.5000 0.0000 0.0000
La: 0.0000 0.5000 0.0000
La: 0.0000 0.0000 0.5000

Calculated values
formation enthalpy at 0 K = -0.10 eV/atom
calculated density = 5.4 Mg/m³
Fermi-level density of states = 4.22 states/eV/f.u.